DFT (PBE+U) results for a relaxed structure of LaCoO3.

Summary:
Its magnetic moment is 4.00 μB per formula unit. The calculated total energy is -6.9944 eV per atom.

Cell and atoms, written as POSCAR:
```
LaCoO3
1.0
2.753 1.590 4.961
-2.753 1.590 4.961
0.000 -3.179 4.961
La Co O
2 2 6
Direct
0.125 0.125 0.125
0.875 0.875 0.875
0.343 0.343 0.343
0.657 0.657 0.657
0.063 0.482 0.685
0.315 0.937 0.518
0.482 0.685 0.063
0.518 0.315 0.937
0.685 0.063 0.482
0.937 0.518 0.315
```